Record 1
# NdAg2Pb

A relaxed NdAg2Pb crystal (PBE-GGA, Alexandria).

CIF file:
```
data_NdAg2Pb
_chemical_formula_sum 'Nd1 Ag2 Pb1'
_cell_length_a 4.7261
_cell_length_b 4.7261
_cell_length_c 4.4267
_cell_angle_alpha 90.00
_cell_angle_beta 90.00
_cell_angle_gamma 90.00
_symmetry_space_group_name_H-M 'P 4/m m m'
_symmetry_Int_Tables_number 123
_symmetry_space_group_name_Hall '-P 4 2'
loop_
_atom_site_label
_atom_site_type_symbol
_atom_site_fract_x
_atom_site_fract_y
_atom_site_fract_z
Nd1 Nd 0.0000 0.0000 0.0000
Ag1 Ag 0.0000 0.5000 0.5000
Pb1 Pb 0.5000 0.5000 0.0000
```

energy relative to the elements: -201 meV per atom

***

Record 2
# Ho4Er3Bi4

A relaxed Ho4Er3Bi4 crystal (PBE-GGA, Alexandria).

CIF file:
```
data_Ho4Er3Bi4
_chemical_formula_sum 'Ho8 Er6 Bi8'
_cell_length_a 4.0398
_cell_length_b 9.2736
_cell_length_c 17.6975
_cell_angle_alpha 90.00
_cell_angle_beta 90.00
_cell_angle_gamma 90.00
_symmetry_space_group_name_H-M 'I m m m'
_symmetry_Int_Tables_number 71
_symmetry_space_group_name_Hall '-I 2 2'
loop_
_atom_site_label
_atom_site_type_symbol
_atom_site_fract_x
_atom_site_fract_y
_atom_site_fract_z
Ho1 Ho 0.0000 0.1843 0.1651
Er1 Er 0.0000 0.0000 0.3979
Er2 Er 0.0000 0.5000 0.5000
Bi1 Bi 0.0000 0.2965 0.0000
Bi2 Bi 0.0000 0.5000 0.2370
```

energy relative to the elements: -494 meV per atom

***

Record 3
# PmNdMgTl

A relaxed PmNdMgTl crystal (PBE-GGA, Alexandria).

CIF file:
```
data_PmNdMgTl
_chemical_formula_sum 'Pm4 Nd4 Mg4 Tl4'
_cell_length_a 7.7590
_cell_length_b 7.7590
_cell_length_c 7.7590
_cell_angle_alpha 90.00
_cell_angle_beta 90.00
_cell_angle_gamma 90.00
_symmetry_space_group_name_H-M 'F -4 3 m'
_symmetry_Int_Tables_number 216
_symmetry_space_group_name_Hall 'F -4 2 3'
loop_
_atom_site_label
_atom_site_type_symbol
_atom_site_fract_x
_atom_site_fract_y
_atom_site_fract_z
Pm1 Pm 0.0000 0.0000 0.0000
Nd1 Nd 0.0000 0.0000 0.5000
Mg1 Mg 0.2500 0.2500 0.2500
Tl1 Tl 0.2500 0.2500 0.7500
```

energy relative to the elements: -261 meV per atom

***

Record 4
# CaHg

A relaxed CaHg crystal (PBE-GGA, Alexandria).

CIF file:
```
data_CaHg
_chemical_formula_sum 'Ca4 Hg4'
_cell_length_a 6.3222
_cell_length_b 6.3222
_cell_length_c 6.3222
_cell_angle_alpha 90.00
_cell_angle_beta 90.00
_cell_angle_gamma 90.00
_symmetry_space_group_name_H-M 'F m -3 m'
_symmetry_Int_Tables_number 225
_symmetry_space_group_name_Hall '-F 4 2 3'
loop_
_atom_site_label
_atom_site_type_symbol
_atom_site_fract_x
_atom_site_fract_y
_atom_site_fract_z
Ca1 Ca 0.0000 0.0000 0.0000
Hg1 Hg 0.0000 0.0000 0.5000
```

energy relative to the elements: -417 meV per atom

***

Record 5
# Be4SiPt

A relaxed Be4SiPt crystal (PBE-GGA, Alexandria).

CIF file:
```
data_Be4SiPt
_chemical_formula_sum 'Be16 Si4 Pt4'
_cell_length_a 6.2225
_cell_length_b 6.2225
_cell_length_c 6.2225
_cell_angle_alpha 90.00
_cell_angle_beta 90.00
_cell_angle_gamma 90.00
_symmetry_space_group_name_H-M 'F -4 3 m'
_symmetry_Int_Tables_number 216
_symmetry_space_group_name_Hall 'F -4 2 3'
loop_
_atom_site_label
_atom_site_type_symbol
_atom_site_fract_x
_atom_site_fract_y
_atom_site_fract_z
Be1 Be 0.1244 0.1244 0.1244
Si1 Si 0.0000 0.0000 0.5000
Pt1 Pt 0.2500 0.2500 0.7500
```

formation energy (no corrections): -0.2018 eV per atom

***

Record 6
# AsOs2Au

A relaxed AsOs2Au crystal (PBE-GGA, Alexandria).

CIF file:
```
data_AsOs2Au
_chemical_formula_sum 'As2 Os4 Au2'
_cell_length_a 2.9087
_cell_length_b 4.9920
_cell_length_c 8.8398
_cell_angle_alpha 90.00
_cell_angle_beta 90.00
_cell_angle_gamma 90.00
_symmetry_space_group_name_H-M 'C m m m'
_symmetry_Int_Tables_number 65
_symmetry_space_group_name_Hall '-C 2 2'
loop_
_atom_site_label
_atom_site_type_symbol
_atom_site_fract_x
_atom_site_fract_y
_atom_site_fract_z
As1 As 0.0000 0.0000 0.0000
Os1 Os 0.0000 0.5000 0.2206
Au1 Au 0.0000 0.0000 0.5000
```

energy relative to the elements: 754 meV per atom

***

Record 7
# Pu2MgZnIr2

A relaxed Pu2MgZnIr2 crystal (PBE-GGA, Alexandria).

CIF file:
```
data_Pu2MgZnIr2
_chemical_formula_sum 'Pu8 Mg4 Zn4 Ir8'
_cell_length_a 5.5706
_cell_length_b 15.0564
_cell_length_c 5.6609
_cell_angle_alpha 90.00
_cell_angle_beta 90.00
_cell_angle_gamma 90.00
_symmetry_space_group_name_H-M 'I b a m'
_symmetry_Int_Tables_number 72
_symmetry_space_group_name_Hall '-I 2 2c'
loop_
_atom_site_label
_atom_site_type_symbol
_atom_site_fract_x
_atom_site_fract_y
_atom_site_fract_z
Pu1 Pu 0.2487 0.1735 0.0000
Mg1 Mg 0.0000 0.0000 0.2500
Zn1 Zn 0.0000 0.5000 0.2500
Ir1 Ir 0.2469 0.3708 0.0000
```

energy relative to the elements: -420 meV per atom

***

Record 8
# NdSm4Tm7

A relaxed NdSm4Tm7 crystal (PBE-GGA, Alexandria).

CIF file:
```
data_NdSm4Tm7
_chemical_formula_sum 'Nd2 Sm8 Tm14'
_cell_length_a 12.0930
_cell_length_b 5.8446
_cell_length_c 12.6657
_cell_angle_alpha 90.00
_cell_angle_beta 117.96
_cell_angle_gamma 90.00
_symmetry_space_group_name_H-M 'C 1 2/m 1'
_symmetry_Int_Tables_number 12
loop_
_symmetry_equiv_pos_as_xyz
'x,y,z'
'-x,-y,-z'
'-x,y,-z'
'x,-y,z'
'x+1/2,y+1/2,z'
'-x+1/2,-y+1/2,-z'
'-x+1/2,y+1/2,-z'
'x+1/2,-y+1/2,z'
loop_
_atom_site_label
_atom_site_type_symbol
_atom_site_fract_x
_atom_site_fract_y
_atom_site_fract_z
Nd1 Nd 0.0000 0.0000 0.0000
Sm1 Sm 0.1351 0.5000 0.7764
Sm2 Sm 0.2314 0.0000 0.6717
Tm1 Tm 0.0000 0.5000 0.0000
Tm2 Tm 0.0662 0.0000 0.3196
Tm3 Tm 0.1330 0.5000 0.4976
Tm4 Tm 0.2109 0.0000 0.9231
```

ΔE to the lowest computed polymorph: 25.0 kJ/mol of atoms
energy relative to the elements: 267 meV per atom

***

Record 9
# ErTmRe4

A relaxed ErTmRe4 crystal (PBE-GGA, Alexandria).

CIF file:
```
data_ErTmRe4
_chemical_formula_sum 'Er4 Tm4 Re16'
_cell_length_a 7.6241
_cell_length_b 7.6241
_cell_length_c 7.6241
_cell_angle_alpha 90.00
_cell_angle_beta 90.00
_cell_angle_gamma 90.00
_symmetry_space_group_name_H-M 'F -4 3 m'
_symmetry_Int_Tables_number 216
_symmetry_space_group_name_Hall 'F -4 2 3'
loop_
_atom_site_label
_atom_site_type_symbol
_atom_site_fract_x
_atom_site_fract_y
_atom_site_fract_z
Er1 Er 0.0000 0.0000 0.0000
Tm1 Tm 0.2500 0.2500 0.2500
Re1 Re 0.1250 0.1250 0.6250
```

energy relative to the elements: -232 meV per atom

***

Record 10
# In3FeSb

A relaxed In3FeSb crystal (PBE-GGA, Alexandria).

CIF file:
```
data_In3FeSb
_chemical_formula_sum 'In3 Fe1 Sb1'
_cell_length_a 5.0906
_cell_length_b 5.0906
_cell_length_c 5.0906
_cell_angle_alpha 90.00
_cell_angle_beta 90.00
_cell_angle_gamma 90.00
_symmetry_space_group_name_H-M 'P m -3 m'
_symmetry_Int_Tables_number 221
_symmetry_space_group_name_Hall '-P 4 2 3'
loop_
_atom_site_label
_atom_site_type_symbol
_atom_site_fract_x
_atom_site_fract_y
_atom_site_fract_z
In1 In 0.0000 0.0000 0.5000
Fe1 Fe 0.0000 0.0000 0.0000
Sb1 Sb 0.5000 0.5000 0.5000
```

formation energy (no corrections): 0.3376 eV per atom
ΔE to the lowest computed polymorph: 0.0 kJ/mol of atoms

***

Record 11
# PaBe3Cu4O12

A relaxed PaBe3Cu4O12 crystal (PBE-GGA, Alexandria).

CIF file:
```
data_PaBe3Cu4O12
_chemical_formula_sum 'Pa2 Be6 Cu8 O24'
_cell_length_a 7.1537
_cell_length_b 7.1537
_cell_length_c 7.1537
_cell_angle_alpha 90.00
_cell_angle_beta 90.00
_cell_angle_gamma 90.00
_symmetry_space_group_name_H-M 'I m -3'
_symmetry_Int_Tables_number 204
_symmetry_space_group_name_Hall '-I 2 2 3'
loop_
_atom_site_label
_atom_site_type_symbol
_atom_site_fract_x
_atom_site_fract_y
_atom_site_fract_z
Pa1 Pa 0.0000 0.0000 0.0000
Be1 Be 0.0000 0.0000 0.5000
Cu1 Cu 0.2500 0.2500 0.2500
O1 O 0.0000 0.3121 0.1591
```

formation energy (no corrections): -1.3161 eV per atom

***

Record 12
# Er11In9Hg4

A relaxed Er11In9Hg4 crystal (PBE-GGA, Alexandria).

CIF file:
```
data_Er11In9Hg4
_chemical_formula_sum 'Er22 In18 Hg8'
_cell_length_a 14.8091
_cell_length_b 22.4280
_cell_length_c 3.7087
_cell_angle_alpha 90.00
_cell_angle_beta 90.00
_cell_angle_gamma 90.00
_symmetry_space_group_name_H-M 'C m m m'
_symmetry_Int_Tables_number 65
_symmetry_space_group_name_Hall '-C 2 2'
loop_
_atom_site_label
_atom_site_type_symbol
_atom_site_fract_x
_atom_site_fract_y
_atom_site_fract_z
Er1 Er 0.0000 0.0000 0.0000
Er2 Er 0.0000 0.1613 0.0000
Er3 Er 0.0000 0.3622 0.0000
Er4 Er 0.2121 0.5000 0.0000
Er5 Er 0.2345 0.1755 0.0000
In1 In 0.0000 0.5000 0.5000
In2 In 0.1075 0.2599 0.5000
In3 In 0.1347 0.0758 0.5000
Hg1 Hg 0.1512 0.4009 0.5000
```

energy relative to the elements: -433 meV per atom

***

Final energy for every record listed, in sequence, given in eV per formula unit: -15.0; -53.0; -14.5; -3.1; -27.6; -27.4; -51.8; -51.7; -60.2; -19.1; -122.9; -86.4.
D(E_F) for every record listed, in sequence, given in states/eV per cell: 3.253; 26.110; 17.313; 6.534; 3.669; 7.960; 61.722; 39.382; 29.975; 4.643; 15.434; 31.423.